[1]
# Li4AsPAu2

A geometry-optimized Li4AsPAu2 structure (PBE-GGA, OQMD).

Its space-group type is Amm2, No. 38.

abc: 5.606 4.967 4.967
angles: 100.38 90.00 90.00
Element x y z (fractional)
Au (0.750, 0.010, 0.010)
Au (0.250, 0.010, 0.010)
Li (0.500, 0.468, 0.840)
Li (0.500, 0.840, 0.468)
Li (0.000, 0.525, 0.152)
Li (0.000, 0.152, 0.525)
As (0.000, 0.677, 0.677)
P (0.500, 0.318, 0.318)

=====

[2]
# Li4AsPbAu2

A geometry-optimized Li4AsPbAu2 structure (PBE-GGA, OQMD).

Its space-group type is P-4m2, No. 115.

abc: 4.475 4.475 6.789
angles: 90.00 90.00 90.00
Element x y z (fractional)
Au (0.000, 0.500, 0.269)
Au (0.500, 0.000, 0.731)
Li (0.500, 0.000, 0.280)
Li (0.000, 0.500, 0.720)
Li (0.500, 0.500, 0.500)
Li (0.000, 0.000, 0.000)
As (0.000, 0.000, 0.500)
Pb (0.500, 0.500, 0.000)

=====

[3]
# Li4As2PdAu

A geometry-optimized Li4As2PdAu structure (PBE-GGA, OQMD).

Its space-group type is P-4m2, No. 115.

abc: 4.362 4.362 6.181
angles: 90.00 90.00 90.00
Element x y z (fractional)
Li (0.500, 0.000, 0.247)
Li (0.000, 0.500, 0.753)
Li (0.000, 0.000, 0.500)
Li (0.500, 0.500, 0.000)
As (0.000, 0.500, 0.237)
As (0.500, 0.000, 0.763)
Au (0.500, 0.500, 0.500)
Pd (0.000, 0.000, 0.000)

=====

[4]
# Li4As2PtAu

A geometry-optimized Li4As2PtAu structure (PBE-GGA, OQMD).

The total magnetic moment comes out at 0.00 μB/cell. Its space-group type is P-4m2, No. 115.

abc: 4.363 4.363 6.180
angles: 90.00 90.00 90.00
Element x y z (fractional)
Au (0.500, 0.500, 0.000)
Li (0.000, 0.500, 0.254)
Li (0.000, 0.000, 0.000)
Li (0.500, 0.500, 0.500)
Li (0.500, 0.000, 0.746)
As (0.500, 0.000, 0.265)
As (0.000, 0.500, 0.735)
Pt (0.000, 0.000, 0.500)

=====

[5]
# Li4SbAsAu2

A geometry-optimized Li4SbAsAu2 structure (PBE-GGA, OQMD).

Its space-group type is P-4m2, No. 115.

abc: 4.539 4.539 6.456
angles: 90.00 90.00 90.00
Element x y z (fractional)
Li (0.500, 0.500, 0.000)
Li (0.000, 0.000, 0.500)
Li (0.000, 0.500, 0.228)
Li (0.500, 0.000, 0.772)
Sb (0.500, 0.500, 0.500)
Au (0.000, 0.500, 0.761)
Au (0.500, 0.000, 0.239)
As (0.000, 0.000, 0.000)

=====

[6]
# Li4SiAsAu2

A geometry-optimized Li4SiAsAu2 structure (PBE-GGA, OQMD).

Its space-group type is P-4m2, No. 115.

abc: 4.342 4.342 6.242
angles: 90.00 90.00 90.00
Element x y z (fractional)
Si (0.500, 0.500, 0.500)
Li (0.500, 0.000, 0.749)
Li (0.500, 0.500, 0.000)
Li (0.000, 0.000, 0.500)
Li (0.000, 0.500, 0.251)
Au (0.000, 0.500, 0.721)
Au (0.500, 0.000, 0.279)
As (0.000, 0.000, 0.000)

=====

[7]
# Li4SnAsAu2

A geometry-optimized Li4SnAsAu2 structure (PBE-GGA, OQMD).

Its space-group type is P-4m2, No. 115.

abc: 4.476 4.476 6.543
angles: 90.00 90.00 90.00
Element x y z (fractional)
Li (0.500, 0.000, 0.774)
Li (0.500, 0.500, 0.000)
Li (0.000, 0.500, 0.226)
Li (0.000, 0.000, 0.500)
As (0.000, 0.000, 0.000)
Sn (0.500, 0.500, 0.500)
Au (0.500, 0.000, 0.247)
Au (0.000, 0.500, 0.753)

=====

[8]
# SrLi2AsAu

A geometry-optimized SrLi2AsAu structure (PBE-GGA, OQMD).

Its space-group type is I4mm, No. 107.

abc: 6.493 6.493 6.493
angles: 141.49 141.49 55.59
Element x y z (fractional)
Li (0.759, 0.259, 0.500)
Li (0.259, 0.759, 0.500)
Au (0.616, 0.616, 0.000)
As (0.381, 0.381, 0.000)
Sr (0.985, 0.985, 0.000)

=====

[9]
# Li4ZnAsAu2

A geometry-optimized Li4ZnAsAu2 structure (PBE-GGA, OQMD).

Its space-group type is P-4m2, No. 115.

abc: 4.313 4.313 6.508
angles: 90.00 90.00 90.00
Element x y z (fractional)
Au (0.000, 0.500, 0.737)
Au (0.500, 0.000, 0.263)
Li (0.000, 0.000, 0.500)
Li (0.500, 0.500, 0.000)
Li (0.500, 0.000, 0.748)
Li (0.000, 0.500, 0.252)
As (0.000, 0.000, 0.000)
Zn (0.500, 0.500, 0.500)

=====

[10]
# LuAsAu2

A geometry-optimized LuAsAu2 structure (PBE-GGA, OQMD).

The total magnetic moment comes out at 0.00 μB/cell. Its space-group type is F-43m, No. 216.

abc: 4.806 4.806 4.806
angles: 60.00 60.00 60.00
Element x y z (fractional)
Au (0.000, 0.000, 0.000)
Au (0.750, 0.750, 0.750)
As (0.500, 0.500, 0.500)
Lu (0.250, 0.250, 0.250)

=====

[11]
# Lu4AsAuN2

A geometry-optimized Lu4AsAuN2 structure (PBE-GGA, OQMD).

The total magnetic moment comes out at 0.01 μB/cell. Its space-group type is P-6m2, No. 187.

abc: 3.473 3.473 13.633
angles: 90.00 90.00 120.00
Element x y z (fractional)
Lu (0.333, 0.667, 0.843)
Lu (0.667, 0.333, 0.649)
Lu (0.667, 0.333, 0.351)
Lu (0.333, 0.667, 0.157)
Au (0.667, 0.333, 0.000)
As (0.333, 0.667, 0.500)
N (0.000, 0.000, 0.262)
N (0.000, 0.000, 0.738)

=====

[12]
# MgNiAsAu

A geometry-optimized MgNiAsAu structure (PBE-GGA, OQMD).

The total magnetic moment comes out at 0.00 μB/cell. For the polymorph energy (0 for the lowest one), the calculation gives 0.000 eV/atom. Its space-group type is F-43m, No. 216.

abc: 4.500 4.500 4.500
angles: 60.00 60.00 60.00
Element x y z (fractional)
Au (0.500, 0.500, 0.500)
As (0.000, 0.000, 0.000)
Mg (0.250, 0.250, 0.250)
Ni (0.750, 0.750, 0.750)

=====

[13]
# MgNiAsAu

A geometry-optimized MgNiAsAu structure (PBE-GGA, OQMD).

The total magnetic moment comes out at 0.00 μB/cell. For the polymorph energy (0 for the lowest one), the calculation gives 0.151 eV/atom. Its space-group type is F-43m, No. 216.

abc: 4.533 4.533 4.533
angles: 60.00 60.00 60.00
Element x y z (fractional)
Ni (0.500, 0.500, 0.500)
Au (0.250, 0.250, 0.250)
Mg (0.750, 0.750, 0.750)
As (0.000, 0.000, 0.000)

=====

[14]
# Mo2AsAu

A geometry-optimized Mo2AsAu structure (PBE-GGA, OQMD).

The total magnetic moment comes out at 0.33 μB/cell. Its space-group type is F-43m, No. 216.

abc: 4.552 4.552 4.552
angles: 60.00 60.00 60.00
Each line ends with the local moment (μB).
Element x y z (fractional)
As (0.500, 0.500, 0.500)  0.00
Mo (0.000, 0.000, 0.000)  0.42
Mo (0.750, 0.750, 0.750)  -0.16
Au (0.250, 0.250, 0.250)  0.01

=====

[15]
# Mo4AsAuN2

A geometry-optimized Mo4AsAuN2 structure (PBE-GGA, OQMD).

The total magnetic moment comes out at 0.00 μB/cell. Its space-group type is P-6m2, No. 187.

abc: 2.962 2.962 14.022
angles: 90.00 90.00 120.00
Element x y z (fractional)
As (0.000, 0.000, 0.000)
Au (0.333, 0.667, 0.500)
N (0.667, 0.333, 0.239)
N (0.667, 0.333, 0.761)
Mo (0.333, 0.667, 0.858)
Mo (0.000, 0.000, 0.670)
Mo (0.333, 0.667, 0.142)
Mo (0.000, 0.000, 0.330)

=====

[16]
# TeMoAsAu

A geometry-optimized TeMoAsAu structure (PBE-GGA, OQMD).

The total magnetic moment comes out at 1.66 μB/cell. For the polymorph energy (0 for the lowest one), the calculation gives 0.215 eV/atom. Its space-group type is F-43m, No. 216.

abc: 4.814 4.814 4.814
angles: 60.00 60.00 60.00
Element x y z (fractional)
Au (0.750, 0.750, 0.750)
As (0.250, 0.250, 0.250)
Te (0.500, 0.500, 0.500)
Mo (0.000, 0.000, 0.000)

=====

[17]
# TeMoAsAu

A geometry-optimized TeMoAsAu structure (PBE-GGA, OQMD).

The total magnetic moment comes out at 1.98 μB/cell. For the polymorph energy (0 for the lowest one), the calculation gives 0.000 eV/atom. Its space-group type is F-43m, No. 216.

abc: 4.794 4.794 4.794
angles: 60.00 60.00 60.00
Element x y z (fractional)
As (0.000, 0.000, 0.000)
Mo (0.250, 0.250, 0.250)
Au (0.750, 0.750, 0.750)
Te (0.500, 0.500, 0.500)

=====

[18]
# MoAsWAu

A geometry-optimized MoAsWAu structure (PBE-GGA, OQMD).

The total magnetic moment comes out at 0.66 μB/cell. For the polymorph energy (0 for the lowest one), the calculation gives 0.270 eV/atom. Its space-group type is F-43m, No. 216.

abc: 4.569 4.569 4.569
angles: 60.00 60.00 60.00
Element x y z (fractional)
Mo (0.000, 0.000, 0.000)
Au (0.750, 0.750, 0.750)
As (0.500, 0.500, 0.500)
W (0.250, 0.250, 0.250)

=====

[19]
# MoAsWAu

A geometry-optimized MoAsWAu structure (PBE-GGA, OQMD).

The total magnetic moment comes out at 0.01 μB/cell. For the polymorph energy (0 for the lowest one), the calculation gives 0.000 eV/atom. Its space-group type is F-43m, No. 216.

abc: 4.493 4.493 4.493
angles: 60.00 60.00 60.00
Element x y z (fractional)
W (0.500, 0.500, 0.500)
Au (0.750, 0.750, 0.750)
Mo (0.000, 0.000, 0.000)
As (0.250, 0.250, 0.250)

=====

[20]
# AsAuNO

A geometry-optimized AsAuNO structure (PBE-GGA, OQMD).

For the polymorph energy (0 for the lowest one), the calculation gives 0.000 eV/atom. Its space-group type is Pmc2_1, No. 26.

abc: 3.760 5.399 6.686
angles: 90.00 90.00 90.00
Element x y z (fractional)
As (0.500, 0.437, 0.842)
As (0.500, 0.937, 0.158)
Au (0.000, 0.648, 0.491)
Au (0.000, 0.148, 0.509)
O (0.500, 0.261, 0.072)
O (0.500, 0.761, 0.928)
N (0.000, 0.408, 0.740)
N (0.000, 0.908, 0.260)

=====

[21]
# AsAuNO

A geometry-optimized AsAuNO structure (PBE-GGA, OQMD).

For the polymorph energy (0 for the lowest one), the calculation gives 0.168 eV/atom. Its space-group type is Pca2_1, No. 29.

abc: 5.329 6.361 7.216
angles: 90.00 90.00 90.00
Element x y z (fractional)
N (0.556, 0.123, 0.664)
N (0.556, 0.623, 0.336)
N (0.056, 0.377, 0.664)
N (0.056, 0.877, 0.336)
O (0.230, 0.563, 0.039)
O (0.230, 0.063, 0.961)
O (0.730, 0.937, 0.039)
O (0.730, 0.437, 0.961)
As (0.989, 0.077, 0.145)
As (0.989, 0.577, 0.855)
As (0.489, 0.923, 0.855)
As (0.489, 0.423, 0.145)
Au (0.428, 0.417, 0.553)
Au (0.928, 0.083, 0.553)
Au (0.428, 0.917, 0.447)
Au (0.928, 0.583, 0.447)

=====

[22]
# AsAuNO

A geometry-optimized AsAuNO structure (PBE-GGA, OQMD).

For the polymorph energy (0 for the lowest one), the calculation gives 0.720 eV/atom. Its space-group type is P4/nmm, No. 129.

abc: 4.243 4.243 6.323
angles: 90.00 90.00 89.97
Element x y z (fractional)
O (0.250, 0.750, 0.000)
O (0.750, 0.250, 0.000)
N (0.750, 0.750, 0.442)
N (0.250, 0.250, 0.558)
Au (0.750, 0.750, 0.922)
Au (0.250, 0.250, 0.078)
As (0.750, 0.250, 0.500)
As (0.250, 0.750, 0.500)

=====

[23]
# AsAuNO

A geometry-optimized AsAuNO structure (PBE-GGA, OQMD).

For the polymorph energy (0 for the lowest one), the calculation gives 0.173 eV/atom. Its space-group type is Pca2_1, No. 29.

abc: 5.624 6.605 6.175
angles: 90.00 90.00 90.00
Element x y z (fractional)
N (0.295, 0.884, 0.065)
N (0.795, 0.116, 0.065)
N (0.705, 0.116, 0.565)
N (0.205, 0.884, 0.565)
As (0.020, 0.099, 0.444)
As (0.980, 0.901, 0.944)
As (0.520, 0.901, 0.444)
As (0.480, 0.099, 0.944)
O (0.660, 0.731, 0.625)
O (0.160, 0.269, 0.625)
O (0.840, 0.731, 0.125)
O (0.340, 0.269, 0.125)
Au (0.157, 0.576, 0.569)
Au (0.657, 0.424, 0.569)
Au (0.843, 0.424, 0.069)
Au (0.343, 0.576, 0.069)

=====

[24]
# AsAuNO

A geometry-optimized AsAuNO structure (PBE-GGA, OQMD).

For the polymorph energy (0 for the lowest one), the calculation gives 0.282 eV/atom. Its space-group type is Pmc2_1, No. 26.

abc: 3.687 5.363 5.779
angles: 90.00 90.00 90.00
Element x y z (fractional)
As (0.000, 0.488, 0.330)
As (0.000, 0.988, 0.670)
O (0.500, 0.441, 0.229)
O (0.500, 0.941, 0.771)
N (0.000, 0.342, 0.627)
N (0.000, 0.842, 0.373)
Au (0.500, 0.983, 0.195)
Au (0.500, 0.483, 0.805)

=====

[25]
# AsAuNO

A geometry-optimized AsAuNO structure (PBE-GGA, OQMD).

For the polymorph energy (0 for the lowest one), the calculation gives 0.405 eV/atom. Its space-group type is P4/nmm, No. 129.

abc: 4.400 4.400 5.677
angles: 90.00 90.00 90.00
Element x y z (fractional)
Au (0.250, 0.750, 0.500)
Au (0.750, 0.250, 0.500)
O (0.250, 0.750, 0.000)
O (0.750, 0.250, 0.000)
As (0.750, 0.750, 0.061)
As (0.250, 0.250, 0.939)
N (0.250, 0.250, 0.598)
N (0.750, 0.750, 0.402)

=====

no.,DFT total energy (eV per formula unit)
1,-28.854
2,-26.311
3,-30.225
4,-31.122
5,-27.259
6,-28.395
7,-27.131
8,-17.152
9,-24.186
10,-17.882
11,-53.047
12,-15.559
13,-14.956
14,-27.346
15,-67.712
16,-19.045
17,-19.903
18,-29.025
19,-30.104
20,-20.929
21,-20.257
22,-18.047
23,-20.236
24,-19.800
25,-19.307